Entry 1:
# GaSiAsPb2 PBE optimized geometry
# * E_form (uncorrected): 0.634 eV per atom
# * electronic total energy: -0.127 Ha/atom
data_GaSiAsPb2
_space_group_name_H-M_alt 'P 4/m m m'
_space_group_IT_number 123
_space_group_name_Hall '-P 4 2'
_cell_length_a 5.660
_cell_length_b 5.660
_cell_length_c 4.879
_cell_angle_alpha 90.00
_cell_angle_beta 90.00
_cell_angle_gamma 90.00
loop_
_atom_site_label
_atom_site_type_symbol
_atom_site_fract_x
_atom_site_fract_y
_atom_site_fract_z
_atom_site_occupancy
Ga1 Ga 0.000 0.000 0.000 1
Si1 Si 0.500 0.500 0.000 1
As1 As 0.500 0.500 0.500 1
Pb1 Pb 0.000 0.500 0.500 1


Entry 2:
# Pm2Ho5Sb4 PBE optimized geometry
# * E_form (uncorrected): -0.395 eV per atom
# * electronic total energy: -0.178 Ha/atom
data_Pm2Ho5Sb4
_space_group_name_H-M_alt 'C 1 2/m 1'
_space_group_IT_number 12
_space_group_name_Hall '-C 2y'
_cell_length_a 24.670
_cell_length_b 3.433
_cell_length_c 8.000
_cell_angle_alpha 90.00
_cell_angle_beta 93.29
_cell_angle_gamma 90.00
loop_
_atom_site_label
_atom_site_type_symbol
_atom_site_fract_x
_atom_site_fract_y
_atom_site_fract_z
_atom_site_occupancy
Pm1 Pm 0.053 0.000 0.155 1
Ho1 Ho 0.000 0.500 0.500 1
Ho2 Ho 0.155 0.000 0.476 1
Ho3 Ho 0.179 0.000 0.991 1
Sb1 Sb 0.072 0.000 0.764 1
Sb2 Sb 0.234 0.500 0.720 1


Entry 3:
# PmGdErSn PBE optimized geometry
# * energy of formation from the pure elements: -25.9 kJ per mole of atoms
# * electronic total energy: -0.262 Ha/atom
data_PmGdErSn
_space_group_name_H-M_alt 'F -4 3 m'
_space_group_IT_number 216
_space_group_name_Hall 'F -4 2 3'
_cell_length_a 7.721
_cell_length_b 7.721
_cell_length_c 7.721
_cell_angle_alpha 90.00
_cell_angle_beta 90.00
_cell_angle_gamma 90.00
loop_
_atom_site_label
_atom_site_type_symbol
_atom_site_fract_x
_atom_site_fract_y
_atom_site_fract_z
_atom_site_occupancy
Pm1 Pm 0.000 0.000 0.000 1
Gd1 Gd 0.000 0.000 0.500 1
Er1 Er 0.250 0.250 0.250 1
Sn1 Sn 0.250 0.250 0.750 1


Entry 4:
# As2RuPb PBE optimized geometry
# * energy of formation from the pure elements: 7.0 kJ per mole of atoms
# * electronic total energy: -0.202 Ha/atom
data_As2RuPb
_space_group_name_H-M_alt 'C 1 2/m 1'
_space_group_IT_number 12
_space_group_name_Hall '-C 2y'
_cell_length_a 7.351
_cell_length_b 3.656
_cell_length_c 6.597
_cell_angle_alpha 90.00
_cell_angle_beta 105.90
_cell_angle_gamma 90.00
loop_
_atom_site_label
_atom_site_type_symbol
_atom_site_fract_x
_atom_site_fract_y
_atom_site_fract_z
_atom_site_occupancy
As1 As 0.229 0.000 0.170 1
Ru1 Ru 0.000 0.500 0.000 1
Pb1 Pb 0.000 0.000 0.500 1


Entry 5:
# SeI PBE optimized geometry
# * E_form (uncorrected): 0.271 eV per atom
# * electronic total energy: -0.083 Ha/atom
data_SeI
_space_group_name_H-M_alt 'P m m n'
_space_group_IT_number 59
_cell_length_a 8.167
_cell_length_b 12.857
_cell_length_c 4.162
_cell_angle_alpha 90.00
_cell_angle_beta 90.00
_cell_angle_gamma 90.00
loop_
_space_group_symop_operation_xyz
'x,y,z'
'-x,-y,-z'
'-x+1/2,-y+1/2,z'
'x+1/2,y+1/2,-z'
'x+1/2,-y,-z'
'-x+1/2,y,z'
'-x,y+1/2,-z'
'x,-y+1/2,z'
loop_
_atom_site_label
_atom_site_type_symbol
_atom_site_fract_x
_atom_site_fract_y
_atom_site_fract_z
_atom_site_occupancy
Se1 Se 0.250 0.091 0.187 1
Se2 Se 0.250 0.750 0.318 1
I1 I 0.250 0.250 0.783 1
I2 I 0.250 0.586 0.710 1


Entry 6:
# CrPdAu6 PBE optimized geometry
# * energy of formation from the pure elements: -0.7 kJ per mole of atoms
# * electronic total energy: -0.159 Ha/atom
data_CrPdAu6
_space_group_name_H-M_alt 'P 4/m m m'
_space_group_IT_number 123
_space_group_name_Hall '-P 4 2'
_cell_length_a 4.092
_cell_length_b 4.092
_cell_length_c 8.290
_cell_angle_alpha 90.00
_cell_angle_beta 90.00
_cell_angle_gamma 90.00
loop_
_atom_site_label
_atom_site_type_symbol
_atom_site_fract_x
_atom_site_fract_y
_atom_site_fract_z
_atom_site_occupancy
Cr1 Cr 0.000 0.000 0.000 1
Pd1 Pd 0.000 0.000 0.500 1
Au1 Au 0.000 0.500 0.248 1
Au2 Au 0.500 0.500 0.000 1
Au3 Au 0.500 0.500 0.500 1


Entry 7:
# BeCdRhO5 PBE optimized geometry
# * E_form (uncorrected): -1.045 eV per atom
# * electronic total energy: -0.207 Ha/atom
data_BeCdRhO5
_space_group_name_H-M_alt 'C 1 2/c 1'
_space_group_IT_number 15
_space_group_name_Hall '-C 2yc'
_cell_length_a 6.410
_cell_length_b 8.735
_cell_length_c 7.074
_cell_angle_alpha 90.00
_cell_angle_beta 114.96
_cell_angle_gamma 90.00
loop_
_atom_site_label
_atom_site_type_symbol
_atom_site_fract_x
_atom_site_fract_y
_atom_site_fract_z
_atom_site_occupancy
Be1 Be 0.000 0.192 0.250 1
Cd1 Cd 0.000 0.158 0.750 1
Rh1 Rh 0.000 0.500 0.000 1
O1 O 0.000 0.416 0.750 1
O2 O 0.111 0.297 0.126 1
O3 O 0.182 0.066 0.414 1


Entry 8:
# BaGe3As3 PBE optimized geometry
# * energy above the lowest structure with this stoichiometry: 0.000 eV/atom
# * energy of formation from the pure elements: -16.4 kJ per mole of atoms
# * electronic total energy: -0.162 Ha/atom
data_BaGe3As3
_space_group_name_H-M_alt 'P 63/m'
_space_group_IT_number 176
_space_group_name_Hall '-P 6c'
_cell_length_a 10.1283
_cell_length_b 10.1283
_cell_length_c 4.0081
_cell_angle_alpha 90.00
_cell_angle_beta 90.00
_cell_angle_gamma 120.00
loop_
_atom_site_label
_atom_site_type_symbol
_atom_site_fract_x
_atom_site_fract_y
_atom_site_fract_z
_atom_site_occupancy
Ba1 Ba 0.3333 0.6667 0.2500 1
Ge1 Ge 0.0765 0.2143 0.2500 1
As1 As 0.0390 0.5940 0.7500 1